Record 1
Cr2NiBi | GGA-PBE | relaxed

Properties
- ΔE_f: 77.1 kJ/mol of atoms
- Total magnetic moment: 0.00 μB per formula unit
- Space group: I-42d (122)

abc: 3.734 3.734 9.697
angles: 78.90 78.90 90.00
Atoms (fractional coordinates):
Cr1 0.209 0.625 0.250
Cr2 0.541 0.125 0.250
Cr3 0.375 0.459 0.750
Cr4 0.875 0.791 0.750
Ni1 0.250 0.750 0.500
Ni2 0.500 0.500 0.000
Bi1 0.750 0.250 0.500
Bi2 0.000 0.000 0.000

---

Record 2
CrNi3Bi | GGA-PBE | relaxed

Properties
- ΔE_f: 84.5 kJ/mol of atoms
- Total magnetic moment: 0.00 μB per formula unit
- Space group: Pm-3m (221)
- Energy relative to the lowest polymorph listed for this composition: 0.000 eV/atom

abc: 4.376 4.376 4.376
angles: 90.00 90.00 90.00
Atoms (fractional coordinates):
Ni1 0.000 0.500 0.000
Ni2 0.000 0.000 0.500
Ni3 0.500 0.000 0.000
Bi1 0.500 0.500 0.500
Cr1 0.000 0.000 0.000

---

- total magnetic moment of number 1 (Cr2NiBi)?
  0.00 μB per formula unit